1.
Computed, not measured: a relaxed TaRuCl crystal at the GGA-PBE level of DFT.

Cell lengths 4.2745, 4.2745, 2.9792 Å; angles 90.00, 90.00, 120.00 degrees
Space group P3m1 (No. 156)
Asymmetric unit:
Ta  0.0000  0.0000  0.0000 (multiplicity 1)
Ru  0.3333  0.6667  0.4759 (multiplicity 1)
Cl  0.6667  0.3333  0.0846 (multiplicity 1)

Computed properties:
* ΔE to the lowest computed polymorph: 0.711 eV per atom

=====

2.
Computed, not measured: a relaxed PuCuAg2O6 crystal at the GGA-PBE level of DFT.

Cell lengths 4.985, 5.552, 6.170 Å; angles 63.27, 67.28, 89.85 degrees
Space group P-1 (No. 2)
Asymmetric unit:
Pu  0.000  0.000  0.000 (multiplicity 1)
Cu  0.500  0.500  0.000 (multiplicity 1)
Ag  0.179  0.736  0.526 (multiplicity 2)
O  0.199  0.196  0.148 (multiplicity 2)
O  0.201  0.657  0.152 (multiplicity 2)
O  0.324  0.168  0.661 (multiplicity 2)

Computed properties:
* energy: -6.52 eV/atom

=====

| no. | D(E_F) (states/eV/cell) |
| --- | --- |
| 1 | 1.56 |
| 2 | 4.62 |